1.
! Nd6Ni2Ge (GGA-PBE, relaxed); values from VASP
&SYSTEM
  ibrav = 0, nat = 18, ntyp = 3
/
ATOMIC_SPECIES
Nd 144.24 Nd.upf
Ni 58.69 Ni.upf
Ge 72.64 Ge.upf
CELL_PARAMETERS angstrom
8.167 -0.136 -2.748
-4.499 6.935 -2.436
0.127 0.136 8.616
ATOMIC_POSITIONS crystal
Nd 0.109 0.289 0.820
Nd 0.695 0.367 0.673
Nd 0.196 0.773 0.969
Nd 0.468 0.289 0.180
Nd 0.305 0.978 0.673
Nd 0.305 0.633 0.327
Nd 0.196 0.227 0.423
Nd 0.891 0.711 0.180
Nd 0.804 0.227 0.031
Nd 0.532 0.711 0.820
Nd 0.804 0.773 0.577
Nd 0.695 0.022 0.327
Ni 0.500 0.379 0.879
Ni 0.500 0.621 0.121
Ni 0.361 0.000 0.361
Ni 0.639 0.000 0.639
Ge 0.000 0.000 0.000
Ge 0.000 0.500 0.500
! energy of formation: -0.30 eV/atom
! spin magnetization: 0.00 μB/cell
! uncorrected energy: -95.0 eV per cell
! DOS at the Fermi energy: 19.506 states/eV per cell

2.
! Ho4ErSc6 (GGA-PBE, relaxed); values from VASP
&SYSTEM
  ibrav = 0, nat = 22, ntyp = 3
/
ATOMIC_SPECIES
Sc 44.96 Sc.upf
Ho 164.93 Ho.upf
Er 167.26 Er.upf
CELL_PARAMETERS angstrom
-2.646 -1.014 4.531
4.498 -2.656 -1.120
12.965 17.148 11.412
ATOMIC_POSITIONS crystal
Sc 0.500 0.000 0.500
Sc 0.166 0.332 0.316
Sc 0.166 0.332 0.184
Sc 0.500 0.999 0.250
Sc 0.833 0.666 0.104
Sc 0.167 0.334 0.604
Sc 0.833 0.666 0.396
Sc 0.834 0.668 0.684
Sc 0.167 0.334 0.896
Sc 0.500 0.000 0.000
Sc 0.500 0.001 0.750
Sc 0.834 0.668 0.816
Ho 0.167 0.333 0.458
Ho 0.500 0.999 0.377
Ho 0.500 0.001 0.623
Ho 0.833 0.667 0.542
Ho 0.834 0.667 0.958
Ho 0.500 0.999 0.123
Ho 0.166 0.333 0.042
Ho 0.500 0.001 0.877
Er 0.167 0.334 0.750
Er 0.833 0.666 0.250
! energy of formation: 0.12 eV/atom
! spin magnetization: 0.00 μB/cell
! uncorrected energy: -119.0 eV per cell
! DOS at the Fermi energy: 36.489 states/eV per cell

3.
! SrLa2In (GGA-PBE, relaxed); values from VASP
&SYSTEM
  ibrav = 0, nat = 4, ntyp = 3
/
ATOMIC_SPECIES
In 114.82 In.upf
La 138.91 La.upf
Sr 87.62 Sr.upf
CELL_PARAMETERS angstrom
-4.894 -4.063 -1.024
1.438 -4.470 -4.412
2.976 2.109 5.311
ATOMIC_POSITIONS crystal
In 0.750 0.250 0.500
La 0.250 0.750 0.500
La 0.000 0.000 0.000
Sr 0.500 0.500 0.000
! energy of formation: -0.14 eV/atom
! spin magnetization: 0.02 μB/cell
! uncorrected energy: -14.8 eV per cell
! DOS at the Fermi energy: 5.274 states/eV per cell

4.
! NiP2N (GGA-PBE, relaxed); values from VASP
&SYSTEM
  ibrav = 0, nat = 8, ntyp = 3
/
ATOMIC_SPECIES
N 14.01 N.upf
P 30.97 P.upf
Ni 58.69 Ni.upf
CELL_PARAMETERS angstrom
4.767 0.000 0.000
0.000 4.767 0.000
2.383 2.383 4.559
ATOMIC_POSITIONS crystal
N 0.500 0.500 0.000
N 0.250 0.750 0.500
P 0.875 0.840 0.750
P 0.590 0.125 0.250
P 0.375 0.410 0.750
P 0.160 0.625 0.250
Ni 0.750 0.250 0.500
Ni 0.000 0.000 0.000
! spin magnetization: 0.00 μB/cell
! uncorrected energy: -48.2 eV per cell
! formation energy without anion corrections: 0.205 eV per atom
! DOS at the Fermi energy: 3.639 states/eV per cell

5.
! Zn2SnAs (GGA-PBE, relaxed); values from VASP
&SYSTEM
  ibrav = 0, nat = 4, ntyp = 3
/
ATOMIC_SPECIES
Zn 65.41 Zn.upf
As 74.92 As.upf
Sn 118.71 Sn.upf
CELL_PARAMETERS angstrom
3.681 0.000 0.000
1.840 3.188 0.000
1.840 1.063 8.106
ATOMIC_POSITIONS crystal
Zn 0.891 0.891 0.327
Zn 0.109 0.109 0.673
As 0.500 0.500 0.500
Sn 0.000 0.000 0.000
! energy of formation: 0.12 eV/atom
! spin magnetization: 0.00 μB/cell
! distance to the lowest polymorph of the same formula: 0.0 meV per atom
! uncorrected energy: -10.7 eV per cell
! DOS at the Fermi energy: 1.646 states/eV per cell

6.
! MgTl (GGA-PBE, relaxed); values from VASP
&SYSTEM
  ibrav = 0, nat = 4, ntyp = 2
/
ATOMIC_SPECIES
Mg 24.30 Mg.upf
Tl 204.38 Tl.upf
CELL_PARAMETERS angstrom
-3.444 1.522 -2.406
-0.741 -2.503 3.627
-0.186 5.282 3.608
ATOMIC_POSITIONS crystal
Mg 0.000 0.000 0.500
Mg 0.000 0.000 0.000
Tl 0.333 0.667 0.250
Tl 0.667 0.333 0.750
! energy of formation: 0.09 eV/atom
! spin magnetization: 0.00 μB/cell
! uncorrected energy: -7.6 eV per cell
! DOS at the Fermi energy: 2.346 states/eV per cell

Q: Which value of uncorrected energy does entry 5 give?
A: -10.7 eV per cell